KTa3Ru: relaxed, PBE.

Unit cell a=4.945 b=4.945 c=4.945 alpha=90.00 beta=90.00 gamma=90.00
Fractional positions:
K (0.000, 0.000, 0.000)
Ta (0.000, 0.500, 0.500)
Ta (0.500, 0.000, 0.500)
Ta (0.500, 0.500, 0.000)
Ru (0.500, 0.500, 0.500)

Computed properties:
Energy of formation   6.6 eV/f.u.
Polymorph energy (0 for the lowest one)   0.0 meV/atom

Mn3Br: relaxed, PBE.

Unit cell a=4.602 b=4.602 c=4.602 alpha=60.00 beta=60.00 gamma=60.00
Fractional positions:
Mn (0.000, 0.000, 0.000)
Mn (0.250, 0.250, 0.250)
Mn (0.750, 0.750, 0.750)
Br (0.500, 0.500, 0.500)

Computed properties:
Polymorph energy (0 for the lowest one)   569.4 meV/atom
Formation energy without anion corrections   0.90 eV/atom

TiCr2Au: relaxed, PBE.

Unit cell a=9.563 b=9.563 c=9.563 alpha=157.71 beta=157.71 gamma=31.73
Fractional positions:
Ti (0.000, 0.000, 0.000)
Ti (0.750, 0.250, 0.500)
Cr (0.070, 0.625, 0.945)
Cr (0.375, 0.320, 0.445)
Cr (0.680, 0.125, 0.055)
Cr (0.875, 0.930, 0.555)
Au (0.250, 0.750, 0.500)
Au (0.500, 0.500, 0.000)

Computed properties:
Energy of formation   2.2 eV/f.u.
Polymorph energy (0 for the lowest one)   276.6 meV/atom

CuH6C2O7: relaxed, PBE.

Unit cell a=9.592 b=6.559 c=10.372 alpha=90.00 beta=90.00 gamma=90.00
Fractional positions:
Cu (0.250, 0.000, 0.133)
Cu (0.250, 0.000, 0.633)
Cu (0.750, 0.000, 0.367)
Cu (0.750, 0.000, 0.867)
H (0.026, 0.414, 0.180)
H (0.026, 0.586, 0.680)
H (0.120, 0.308, 0.771)
H (0.120, 0.692, 0.271)
H (0.245, 0.208, 0.853)
H (0.245, 0.792, 0.353)
H (0.255, 0.208, 0.353)
H (0.255, 0.792, 0.853)
H (0.380, 0.308, 0.271)
H (0.380, 0.692, 0.771)
H (0.474, 0.414, 0.680)
H (0.474, 0.586, 0.180)
H (0.526, 0.414, 0.820)
H (0.526, 0.586, 0.320)
H (0.620, 0.308, 0.229)
H (0.620, 0.692, 0.729)
H (0.745, 0.208, 0.147)
H (0.745, 0.792, 0.647)
H (0.755, 0.208, 0.647)
H (0.755, 0.792, 0.147)
H (0.880, 0.308, 0.729)
H (0.880, 0.692, 0.229)
H (0.974, 0.414, 0.320)
H (0.974, 0.586, 0.820)
C (0.020, 0.103, 0.470)
C (0.020, 0.897, 0.970)
C (0.480, 0.103, 0.970)
C (0.480, 0.897, 0.470)
C (0.520, 0.103, 0.530)
C (0.520, 0.897, 0.030)
C (0.980, 0.103, 0.030)
C (0.980, 0.897, 0.530)
O (0.000, 0.490, 0.750)
O (0.000, 0.510, 0.250)
O (0.070, 0.186, 0.103)
O (0.070, 0.814, 0.603)
O (0.139, 0.176, 0.496)
O (0.139, 0.824, 0.996)
O (0.176, 0.181, 0.785)
O (0.176, 0.819, 0.285)
O (0.324, 0.181, 0.285)
O (0.324, 0.819, 0.785)
O (0.361, 0.176, 0.996)
O (0.361, 0.824, 0.496)
O (0.430, 0.186, 0.603)
O (0.430, 0.814, 0.103)
O (0.500, 0.490, 0.250)
O (0.500, 0.510, 0.750)
O (0.570, 0.186, 0.897)
O (0.570, 0.814, 0.397)
O (0.639, 0.176, 0.504)
O (0.639, 0.824, 0.004)
O (0.676, 0.181, 0.215)
O (0.676, 0.819, 0.715)
O (0.824, 0.181, 0.715)
O (0.824, 0.819, 0.215)
O (0.861, 0.176, 0.004)
O (0.861, 0.824, 0.504)
O (0.930, 0.186, 0.397)
O (0.930, 0.814, 0.897)

Computed properties:
DFT total energy   -373.1 eV per cell

CsAgHgO2: relaxed, PBE.

Unit cell a=7.498 b=7.498 c=5.170 alpha=90.00 beta=90.00 gamma=126.60
Fractional positions:
Cs (0.250, 0.750, 0.758)
Cs (0.750, 0.250, 0.242)
Ag (0.000, 0.000, 0.500)
Ag (0.500, 0.500, 0.500)
Hg (0.250, 0.250, 0.000)
Hg (0.750, 0.750, 0.000)
O (0.100, 0.900, 0.187)
O (0.400, 0.600, 0.187)
O (0.600, 0.400, 0.813)
O (0.900, 0.100, 0.813)

Computed properties:
Formation energy without anion corrections   -0.53 eV/atom

Cd2PPdAu: relaxed, PBE.

Unit cell a=5.004 b=5.004 c=4.652 alpha=90.00 beta=90.00 gamma=90.00
Fractional positions:
Cd (0.000, 0.500, 0.000)
Cd (0.500, 0.000, 0.000)
P (0.000, 0.000, 0.000)
Pd (0.500, 0.500, 0.500)
Au (0.000, 0.000, 0.500)

Computed properties:
Energy of formation   2.3 eV/f.u.

Please write out number 1 again, unchanged.
KTa3Ru: relaxed, PBE.

Unit cell a=4.945 b=4.945 c=4.945 alpha=90.00 beta=90.00 gamma=90.00
Fractional positions:
K (0.000, 0.000, 0.000)
Ta (0.000, 0.500, 0.500)
Ta (0.500, 0.000, 0.500)
Ta (0.500, 0.500, 0.000)
Ru (0.500, 0.500, 0.500)

Computed properties:
Energy of formation   6.6 eV/f.u.
Polymorph energy (0 for the lowest one)   0.0 meV/atom

Question: Number 3 is which compound?
Answer: TiCr2Au